Run 1
The following is a DFT calculation (PBE) of ZnCu3Au after structural relaxation.

CIF file:
```
data_ZnCu3Au
_chemical_formula_sum 'Zn1 Cu3 Au1'
_cell_length_a 4.4779
_cell_length_b 4.4779
_cell_length_c 4.4779
_cell_angle_alpha 96.97
_cell_angle_beta 96.97
_cell_angle_gamma 96.97
_symmetry_space_group_name_H-M 'P 1'
_symmetry_Int_Tables_number 1
loop_
_symmetry_equiv_pos_as_xyz
'x,y,z'
loop_
_atom_site_label
_atom_site_type_symbol
_atom_site_fract_x
_atom_site_fract_y
_atom_site_fract_z
Zn1 Zn 0.7350 0.7350 0.7350
Cu1 Cu 0.6725 0.3086 0.3086
Cu2 Cu 0.3086 0.6725 0.3086
Cu3 Cu 0.3086 0.3086 0.6725
Au1 Au 0.1004 0.1004 0.1004
```

Values from the calculation:
- Space-group type: R3m
- Density of states at the Fermi level: 2.260 states/eV/f.u.

---

Run 2
The following is a DFT calculation (PBE) of ZnCu3Au after structural relaxation.

CIF file:
```
data_ZnCu3Au
_chemical_formula_sum 'Zn1 Cu3 Au1'
_cell_length_a 4.4133
_cell_length_b 4.4133
_cell_length_c 4.4133
_cell_angle_alpha 90.00
_cell_angle_beta 90.00
_cell_angle_gamma 90.00
_symmetry_space_group_name_H-M 'P 1'
_symmetry_Int_Tables_number 1
loop_
_symmetry_equiv_pos_as_xyz
'x,y,z'
loop_
_atom_site_label
_atom_site_type_symbol
_atom_site_fract_x
_atom_site_fract_y
_atom_site_fract_z
Zn1 Zn 0.0000 0.0000 0.0000
Au1 Au 0.5000 0.5000 0.5000
Cu1 Cu 0.0000 0.5000 0.0000
Cu2 Cu 0.0000 0.0000 0.5000
Cu3 Cu 0.5000 0.0000 0.0000
```

Values from the calculation:
- Space-group type: Pm-3m
- Density of states at the Fermi level: 1.665 states/eV/f.u.

---

Which one sits at the bottom of the stability order? run 2 does.

---

Run 1
The following is a DFT calculation (PBE) of Zn2Cu2Au after structural relaxation.

CIF file:
```
data_Zn2Cu2Au
_chemical_formula_sum 'Zn4 Cu4 Au2'
_cell_length_a 7.0514
_cell_length_b 7.0514
_cell_length_c 2.8703
_cell_angle_alpha 90.00
_cell_angle_beta 90.00
_cell_angle_gamma 90.00
_symmetry_space_group_name_H-M 'P 1'
_symmetry_Int_Tables_number 1
loop_
_symmetry_equiv_pos_as_xyz
'x,y,z'
loop_
_atom_site_label
_atom_site_type_symbol
_atom_site_fract_x
_atom_site_fract_y
_atom_site_fract_z
Zn1 Zn 0.1697 0.6697 0.5000
Zn2 Zn 0.6697 0.8303 0.5000
Zn3 Zn 0.8303 0.3303 0.5000
Zn4 Zn 0.3303 0.1697 0.5000
Au1 Au 0.0000 0.0000 0.0000
Au2 Au 0.5000 0.5000 0.0000
Cu1 Cu 0.3740 0.8740 0.0000
Cu2 Cu 0.8740 0.6260 0.0000
Cu3 Cu 0.6260 0.1260 0.0000
Cu4 Cu 0.1260 0.3740 0.0000
```

Values from the calculation:
- Space-group type: P4/mbm
- Density of states at the Fermi level: 1.616 states/eV/f.u.

---

Run 2
The following is a DFT calculation (PBE) of Zn2Cu2Au after structural relaxation.

CIF file:
```
data_Zn2Cu2Au
_chemical_formula_sum 'Zn2 Cu2 Au1'
_cell_length_a 3.5471
_cell_length_b 3.5471
_cell_length_c 6.5270
_cell_angle_alpha 74.23
_cell_angle_beta 74.23
_cell_angle_gamma 90.00
_symmetry_space_group_name_H-M 'P 1'
_symmetry_Int_Tables_number 1
loop_
_symmetry_equiv_pos_as_xyz
'x,y,z'
loop_
_atom_site_label
_atom_site_type_symbol
_atom_site_fract_x
_atom_site_fract_y
_atom_site_fract_z
Zn1 Zn 0.7500 0.2500 0.5000
Zn2 Zn 0.2500 0.7500 0.5000
Au1 Au 0.0000 0.0000 0.0000
Cu1 Cu 0.4012 0.4012 0.1976
Cu2 Cu 0.5988 0.5988 0.8024
```

Values from the calculation:
- Space-group type: I4/mmm
- Density of states at the Fermi level: 1.378 states/eV/f.u.

---

Which one sits at the bottom of the stability order? run 2 does.

---

Run 1
The following is a DFT calculation (PBE) of Zn2Cu2Au after structural relaxation.

CIF file:
```
data_Zn2Cu2Au
_chemical_formula_sum 'Zn2 Cu2 Au1'
_cell_length_a 3.4553
_cell_length_b 3.4553
_cell_length_c 6.8471
_cell_angle_alpha 75.39
_cell_angle_beta 75.39
_cell_angle_gamma 90.00
_symmetry_space_group_name_H-M 'P 1'
_symmetry_Int_Tables_number 1
loop_
_symmetry_equiv_pos_as_xyz
'x,y,z'
loop_
_atom_site_label
_atom_site_type_symbol
_atom_site_fract_x
_atom_site_fract_y
_atom_site_fract_z
Zn1 Zn 0.3972 0.3972 0.2057
Zn2 Zn 0.6028 0.6028 0.7943
Au1 Au 0.0000 0.0000 0.0000
Cu1 Cu 0.7500 0.2500 0.5000
Cu2 Cu 0.2500 0.7500 0.5000
```

Values from the calculation:
- Space-group type: I4/mmm
- Density of states at the Fermi level: 1.189 states/eV/f.u.

---

Run 2
The following is a DFT calculation (PBE) of Zn2Cu2Au after structural relaxation.

CIF file:
```
data_Zn2Cu2Au
_chemical_formula_sum 'Zn4 Cu4 Au2'
_cell_length_a 6.8854
_cell_length_b 6.8854
_cell_length_c 2.9223
_cell_angle_alpha 90.00
_cell_angle_beta 90.00
_cell_angle_gamma 90.00
_symmetry_space_group_name_H-M 'P 1'
_symmetry_Int_Tables_number 1
loop_
_symmetry_equiv_pos_as_xyz
'x,y,z'
loop_
_atom_site_label
_atom_site_type_symbol
_atom_site_fract_x
_atom_site_fract_y
_atom_site_fract_z
Zn1 Zn 0.3666 0.8666 0.0000
Zn2 Zn 0.8666 0.6334 0.0000
Zn3 Zn 0.6334 0.1334 0.0000
Zn4 Zn 0.1334 0.3666 0.0000
Au1 Au 0.0000 0.0000 0.0000
Au2 Au 0.5000 0.5000 0.0000
Cu1 Cu 0.1619 0.6619 0.5000
Cu2 Cu 0.6619 0.8381 0.5000
Cu3 Cu 0.8381 0.3381 0.5000
Cu4 Cu 0.3381 0.1619 0.5000
```

Values from the calculation:
- Space-group type: P4/mbm
- Density of states at the Fermi level: 1.191 states/eV/f.u.

---

Run 3
The following is a DFT calculation (PBE) of Zn2Cu2Au after structural relaxation.

CIF file:
```
data_Zn2Cu2Au
_chemical_formula_sum 'Zn2 Cu2 Au1'
_cell_length_a 3.8130
_cell_length_b 4.5454
_cell_length_c 4.8983
_cell_angle_alpha 78.19
_cell_angle_beta 67.09
_cell_angle_gamma 65.20
_symmetry_space_group_name_H-M 'P 1'
_symmetry_Int_Tables_number 1
loop_
_symmetry_equiv_pos_as_xyz
'x,y,z'
loop_
_atom_site_label
_atom_site_type_symbol
_atom_site_fract_x
_atom_site_fract_y
_atom_site_fract_z
Zn1 Zn 0.5894 0.6016 0.2196
Zn2 Zn 0.4106 0.3984 0.7804
Cu1 Cu 0.1968 0.2033 0.4031
Cu2 Cu 0.8032 0.7967 0.5969
Au1 Au 0.0000 0.0000 0.0000
```

Values from the calculation:
- Space-group type: C2/m
- Density of states at the Fermi level: 1.383 states/eV/f.u.

---

Which one sits at the bottom of the stability order? run 1 does.

---

Run 1
The following is a DFT calculation (PBE) of Zn4Cu3Au2 after structural relaxation.

CIF file:
```
data_Zn4Cu3Au2
_chemical_formula_sum 'Zn4 Cu3 Au2'
_cell_length_a 3.8260
_cell_length_b 6.1105
_cell_length_c 6.1798
_cell_angle_alpha 107.09
_cell_angle_beta 108.03
_cell_angle_gamma 90.00
_symmetry_space_group_name_H-M 'P 1'
_symmetry_Int_Tables_number 1
loop_
_symmetry_equiv_pos_as_xyz
'x,y,z'
loop_
_atom_site_label
_atom_site_type_symbol
_atom_site_fract_x
_atom_site_fract_y
_atom_site_fract_z
Zn1 Zn 0.5533 0.3392 0.1066
Zn2 Zn 0.7775 0.6652 0.5550
Zn3 Zn 0.4467 0.6608 0.8934
Zn4 Zn 0.2225 0.3348 0.4450
Cu1 Cu 0.8922 0.3532 0.7844
Cu2 Cu 0.1078 0.6468 0.2156
Cu3 Cu 0.0000 0.0000 0.0000
Au1 Au 0.3418 0.0057 0.6836
Au2 Au 0.6582 0.9943 0.3164
```

Values from the calculation:
- Space-group type: C2/m
- Density of states at the Fermi level: 2.167 states/eV/f.u.

---

Run 2
The following is a DFT calculation (PBE) of Zn4Cu3Au2 after structural relaxation.

CIF file:
```
data_Zn4Cu3Au2
_chemical_formula_sum 'Zn4 Cu3 Au2'
_cell_length_a 3.8184
_cell_length_b 4.6819
_cell_length_c 8.3055
_cell_angle_alpha 75.15
_cell_angle_beta 89.80
_cell_angle_gamma 65.75
_symmetry_space_group_name_H-M 'P 1'
_symmetry_Int_Tables_number 1
loop_
_symmetry_equiv_pos_as_xyz
'x,y,z'
loop_
_atom_site_label
_atom_site_type_symbol
_atom_site_fract_x
_atom_site_fract_y
_atom_site_fract_z
Zn1 Zn 0.6611 0.6779 0.8876
Zn2 Zn 0.0080 0.9832 0.3448
Zn3 Zn 0.9920 0.0168 0.6552
Zn4 Zn 0.3389 0.3221 0.1124
Cu1 Cu 0.3380 0.3221 0.4474
Cu2 Cu 0.0000 0.0000 0.0000
Cu3 Cu 0.6620 0.6779 0.5526
Au1 Au 0.3293 0.3417 0.7777
Au2 Au 0.6707 0.6583 0.2223
```

Values from the calculation:
- Space-group type: P-1
- Density of states at the Fermi level: 2.693 states/eV/f.u.

---

Which one sits at the bottom of the stability order? run 1 does.